1.
# PmDyTm2Th | Alexandria via LeMat-Bulk | PBE | relaxed
data_PmDyTm2Th
_space_group_name_H-M_alt 'P m m m'
_space_group_IT_number 47
_space_group_name_Hall '-P 2 2'
_cell_length_a 3.5280
_cell_length_b 5.5859
_cell_length_c 8.6431
_cell_angle_alpha 90.00
_cell_angle_beta 90.00
_cell_angle_gamma 90.00
loop_
_atom_site_label
_atom_site_type_symbol
_atom_site_fract_x
_atom_site_fract_y
_atom_site_fract_z
_atom_site_occupancy
Pm1 Pm 0.0000 0.0000 0.0000 1
Dy1 Dy 0.5000 0.0000 0.5000 1
Tm1 Tm 0.0000 0.5000 0.3215 1
Th1 Th 0.5000 0.5000 0.0000 1
# Formation enthalpy at 0 K: 31.2 kJ/mol of atoms
# E: -4.82 eV/atom


2.
# PmDy6Tm2Th | Alexandria via LeMat-Bulk | PBE | relaxed
data_PmDy6Tm2Th
_space_group_name_H-M_alt 'C 1 2/c 1'
_space_group_IT_number 15
_space_group_name_Hall '-C 2yc'
_cell_length_a 9.1712
_cell_length_b 14.8705
_cell_length_c 9.5102
_cell_angle_alpha 90.00
_cell_angle_beta 96.81
_cell_angle_gamma 90.00
loop_
_atom_site_label
_atom_site_type_symbol
_atom_site_fract_x
_atom_site_fract_y
_atom_site_fract_z
_atom_site_occupancy
Pm1 Pm 0.0000 0.0282 0.2500 1
Dy1 Dy 0.0640 0.1835 0.9408 1
Dy2 Dy 0.0963 0.3928 0.1173 1
Dy3 Dy 0.2058 0.2258 0.3166 1
Tm1 Tm 0.2473 0.0513 0.5484 1
Th1 Th 0.0000 0.4071 0.7500 1
# Formation enthalpy at 0 K: 13.8 kJ/mol of atoms
# E: -4.73 eV/atom


3.
# Pm3Dy6Tm2Th | Alexandria via LeMat-Bulk | PBE | relaxed
data_Pm3Dy6Tm2Th
_space_group_name_H-M_alt 'C 1 2/m 1'
_space_group_IT_number 12
_space_group_name_Hall '-C 2y'
_cell_length_a 6.1743
_cell_length_b 10.6890
_cell_length_c 11.8176
_cell_angle_alpha 90.00
_cell_angle_beta 100.04
_cell_angle_gamma 90.00
loop_
_atom_site_label
_atom_site_type_symbol
_atom_site_fract_x
_atom_site_fract_y
_atom_site_fract_z
_atom_site_occupancy
Pm1 Pm 0.0000 0.0000 0.0000 1
Pm2 Pm 0.0000 0.3330 0.0000 1
Dy1 Dy 0.2473 0.3348 0.7463 1
Dy2 Dy 0.2483 0.5000 0.2537 1
Tm1 Tm 0.0000 0.1668 0.5000 1
Th1 Th 0.0000 0.5000 0.5000 1
# Formation enthalpy at 0 K: 2.0 kJ/mol of atoms
# E: -4.83 eV/atom